Entry 1:
Material: Hg2WSe
Method: DFT, PBE
State: relaxed

Properties
For the spin magnetization, the calculation gives 0.0000 μB/atom. The value obtained for the density of states at the Fermi level is 1.9 states/eV/f.u. Its formation energy without anion corrections is 0.24 eV per atom.

Cell lengths 3.0846, 3.0846, 9.2249 Å; angles 90.00, 90.00, 90.00 degrees
With the nearest neighbours (Å) after each atom.
Space group P4mm (No. 99)
Symmetry-distinct sites (fractional):
Hg1 0.0000 0.0000 0.0000 [1 per cell]  4 W 2.98, 4 Hg 3.08
Hg2 0.5000 0.5000 0.2837 [1 per cell]  8 Hg 3.08-3.41
W1 0.5000 0.5000 0.7795 [1 per cell]  4 Se 2.61
Se1 0.0000 0.0000 0.6235 [1 per cell]  4 W 2.61

---

Entry 2:
Material: Ga3Hg12Cl5
Method: DFT, PBE
State: relaxed

Properties
For the spin magnetization, the calculation gives 0.0000 μB/atom. The value obtained for the density of states at the Fermi level is 8.4 states/eV/f.u. Its formation energy without anion corrections is -0.12 eV per atom.

Cell lengths 17.3409, 17.3409, 17.3409 Å; angles 90.00, 90.00, 90.00 degrees
With the nearest neighbours (Å) after each atom.
Space group Ia-3d (No. 230)
Symmetry-distinct sites (fractional):
Ga1 0.0000 0.2500 0.1250 [24 per cell]  4 Hg 2.87
Hg1 0.0179 0.0876 0.6522 [96 per cell]  1 Ga 2.87, 2 Cl 2.94-3.06, 1 Hg 3.12
Cl1 0.0000 0.0000 0.0000 [16 per cell]  6 Hg 3.06
Cl2 0.0000 0.2500 0.3750 [24 per cell]  4 Hg 2.94

---

Entry 3:
Material: RbAlB
Method: DFT, PBE
State: relaxed

Properties
For the polymorph energy (0 for the lowest one), the calculation gives 0.0000 eV/atom. For the spin magnetization, the calculation gives 0.0000 μB/atom. The value obtained for the density of states at the Fermi level is 1.5 states/eV/f.u. The value obtained for the formation energy from the elements is 0.22 eV/atom.

Cell lengths 4.1641, 4.1665, 10.7517 Å; angles 88.27, 88.05, 75.18 degrees
With the nearest neighbours (Å) after each atom.
Space group P1 (No. 1)
Symmetry-distinct sites (fractional):
Rb1 0.0000 0.0000 0.0000 [1 per cell]  2 B 3.53-3.54, 3 Al 3.63-3.69
Rb2 0.4778 0.4677 0.4182 [1 per cell]  2 B 3.54, 3 Al 3.63-3.69
Al1 0.5415 0.5372 0.7515 [1 per cell]  4 B 2.18-2.24
Al2 0.9319 0.9263 0.6666 [1 per cell]  4 B 2.18-2.24
B1 0.0739 0.3946 0.7089 [1 per cell]  1 B 1.65
B2 0.3995 0.0690 0.7086 [1 per cell]  1 B 1.65